Record 1
## Pm4HBr5 (GGA-PBE)

Data for Pm4HBr5 after structural relaxation.

The structure belongs to space group C2/m (No. 12); the cell edges are 17.7807, 3.8677 and 8.5226 Å and the angles 90.00°, 103.50° and 90.00°. The distinct sites, in fractional coordinates, are Pm at (0.0017, 0.0000, 0.2860), Pm at (0.1417, 0.5000, 0.5751), H at (0.0000, 0.5000, 0.5000), Br at (0.0000, 0.5000, 0.0000), Br at (0.1666, 0.0000, 0.8465) and Br at (0.1761, 0.0000, 0.3286).

The calculated total energy comes out at -87.78 eV/cell.


Record 2
## ErGaSi2 (GGA-PBE)

Data for ErGaSi2 after structural relaxation.

The structure belongs to space group P4/mmm (No. 123); the cell edges are 4.1929, 4.1929 and 4.1084 Å and the angles 90.00°, 90.00° and 90.00°. The distinct sites, in fractional coordinates, are Er at (0.0000, 0.0000, 0.0000), Ga at (0.5000, 0.5000, 0.0000) and Si at (0.0000, 0.5000, 0.5000).

The value obtained for the energy relative to the lowest polymorph listed for this composition is 0.0 meV per atom. For the formation energy from raw total energies, the calculation gives -0.305 eV/atom.


Record 3
## PmAl2Ag (GGA-PBE)

Data for PmAl2Ag after structural relaxation.

The structure belongs to space group P4/mmm (No. 123); the cell edges are 4.4113, 4.4113 and 4.3811 Å and the angles 90.00°, 90.00° and 90.00°. The distinct sites, in fractional coordinates, are Pm at (0.0000, 0.0000, 0.0000), Al at (0.0000, 0.5000, 0.5000) and Ag at (0.5000, 0.5000, 0.0000).

The calculation puts the formation enthalpy at 0 K at -252 meV/atom. The value obtained for the energy relative to the lowest polymorph listed for this composition is 144.2 meV per atom.


Record 4
## InOs2Pt (GGA-PBE)

Data for InOs2Pt after structural relaxation.

The structure belongs to space group I-4m2 (No. 119); the cell edges are 4.0364, 4.0364 and 7.7967 Å and the angles 90.00°, 90.00° and 90.00°. The distinct sites, in fractional coordinates, are In at (0.0000, 0.0000, 0.0000), Os at (0.0000, 0.0000, 0.5000), Os at (0.0000, 0.5000, 0.7500) and Pt at (0.0000, 0.5000, 0.2500).

The calculation puts the formation enthalpy at 0 K at 323 meV/atom. The value obtained for the energy relative to the lowest polymorph listed for this composition is 232.3 meV per atom.


Record 5
## Tl3CdTe2O8 (GGA-PBE)

Data for Tl3CdTe2O8 after structural relaxation.

The structure belongs to space group P-3m1 (No. 164); the cell edges are 6.2868, 6.2868 and 7.9356 Å and the angles 90.00°, 90.00° and 120.00°. The distinct sites, in fractional coordinates, are Tl at (0.0000, 0.0000, 0.0000), Tl at (0.3333, 0.6667, 0.6869), Cd at (0.0000, 0.0000, 0.5000), Te at (0.3333, 0.6667, 0.2324), O at (0.1695, 0.3391, 0.3136) and O at (0.3333, 0.6667, 0.9973).

For the formation energy from raw total energies, the calculation gives -0.814 eV/atom.


Record 6
## KAuN3 (GGA-PBE)

Data for KAuN3 after structural relaxation.

The structure belongs to space group Pm-3m (No. 221); the cell edges are 4.1777, 4.1777 and 4.1777 Å and the angles 90.00°, 90.00° and 90.00°. The distinct sites, in fractional coordinates, are K at (0.0000, 0.0000, 0.0000), Au at (0.5000, 0.5000, 0.5000) and N at (0.0000, 0.5000, 0.5000).

For the formation energy from raw total energies, the calculation gives 2.084 eV/atom.


Record 7
## CsKBa2Li (GGA-PBE)

Data for CsKBa2Li after structural relaxation.

The structure belongs to space group P4/mmm (No. 123); the cell edges are 6.9256, 6.9256 and 7.3118 Å and the angles 90.00°, 90.00° and 90.00°. The distinct sites, in fractional coordinates, are Cs at (0.0000, 0.0000, 0.0000), K at (0.5000, 0.5000, 0.0000), Ba at (0.0000, 0.5000, 0.5000) and Li at (0.5000, 0.5000, 0.5000).

The calculation puts the formation enthalpy at 0 K at 192 meV/atom.


Record 8
## TcAs3C (GGA-PBE)

Data for TcAs3C after structural relaxation.

The structure belongs to space group Pm-3m (No. 221); the cell edges are 4.2512, 4.2512 and 4.2512 Å and the angles 90.00°, 90.00° and 90.00°. The distinct sites, in fractional coordinates, are Tc at (0.0000, 0.0000, 0.0000), As at (0.0000, 0.5000, 0.5000) and C at (0.5000, 0.5000, 0.5000).

The calculation puts the formation enthalpy at 0 K at 1194 meV/atom. The value obtained for the energy relative to the lowest polymorph listed for this composition is 0.0 meV per atom.


| no. | volume (Å³ per atom) |
| --- | --- |
| 1 | 28.50 |
| 2 | 18.06 |
| 3 | 21.31 |
| 4 | 15.88 |
| 5 | 19.40 |
| 6 | 14.58 |
| 7 | 70.14 |
| 8 | 15.37 |